La3Pr7Mg | PBE | optimized geometry

a b c (Å): 8.933 7.259 7.259
angles (deg): 120.00 90.00 90.00
Atoms (fractional coordinates):
La1 0.783 0.501 0.499
La2 0.783 0.501 0.001
La3 0.783 0.999 0.499
Pr1 0.122 0.167 0.833
Pr2 0.122 0.167 0.334
Pr3 0.114 0.667 0.333
Pr4 0.447 0.832 0.168
Pr5 0.447 0.337 0.168
Pr6 0.447 0.832 0.663
Pr7 0.122 0.666 0.833
Mg1 0.445 0.333 0.667

formation enthalpy at 0 K	0.153	eV per atom
size of the total moment	0.00	μB per formula unit
relative energy among the computed polymorphs	0.33	eV/f.u.